No. 1
Computed, not measured: an optimized crystal structure of Ag2PtPb at the PBE level of DFT.

abc: 9.6829 9.6829 9.6829
angles: 18.59 18.59 18.59
Last column: nearest neighbours and their distance in Å.
Element x y z (fractional)
Ag (0.2572, 0.2572, 0.2572)  9 Ag 2.88-3.13
Ag (0.0023, 0.0023, 0.0023)  3 Pt 2.85, 9 Ag 2.88-3.13
Pt (0.7461, 0.7461, 0.7461)  3 Ag 2.85, 3 Pb 2.95, 6 Pt 3.13
Pb (0.4944, 0.4944, 0.4944)  3 Pt 2.95, 6 Pb 3.13, 3 Ag 3.28

Values from the calculation:
The value obtained for the density of states at the Fermi level is 3.613 states/eV/f.u. The final energy is -3.700 eV per atom.



No. 2
Computed, not measured: an optimized crystal structure of Ta2ZnPt2 at the PBE level of DFT.

abc: 4.2569 5.0834 5.0835
angles: 63.61 65.02 65.02
Last column: nearest neighbours and their distance in Å.
Element x y z (fractional)
Ta (0.8047, 0.6896, 0.6896)  6 Pt 2.72-2.87, 1 Ta 2.84, 2 Zn 3.03
Ta (0.1953, 0.3104, 0.3104)  6 Pt 2.72-2.87, 1 Ta 2.84, 2 Zn 3.03
Pt (0.5000, 0.7387, 0.2613)  2 Zn 2.55, 2 Pt 2.56-2.80, 4 Ta 2.72-2.85
Pt (0.5000, 0.2613, 0.7387)  2 Zn 2.55, 2 Pt 2.56-2.80, 4 Ta 2.72-2.85
Zn (0.0000, 0.0000, 0.0000)  4 Pt 2.55

Values from the calculation:
The value obtained for the density of states at the Fermi level is 4.993 states/eV/f.u. The final energy is -7.716 eV per atom.



No. 3
Computed, not measured: an optimized crystal structure of Pm3Al2In at the PBE level of DFT.

abc: 5.3039 5.3039 13.0275
angles: 90.00 90.00 120.00
Last column: nearest neighbours and their distance in Å.
Element x y z (fractional)
Pm (0.6667, 0.3333, 0.5838)  4 Al 3.24-3.25, 4 In 3.25-3.28
Pm (0.6667, 0.3333, 0.0784)  7 Al 3.20-3.27, 1 In 3.30
Pm (0.0000, 0.0000, 0.2440)  5 Al 3.18-3.34, 3 In 3.27
Pm (0.3333, 0.6667, 0.4162)  4 Al 3.24-3.25, 4 In 3.25-3.28
Pm (0.0000, 0.0000, 0.7560)  5 Al 3.18-3.34, 3 In 3.27
Pm (0.3333, 0.6667, 0.9216)  7 Al 3.20-3.27, 1 In 3.30
Al (0.6667, 0.3333, 0.8325)  8 Pm 3.20-3.27
Al (0.3333, 0.6667, 0.1675)  8 Pm 3.20-3.27
Al (0.0000, 0.0000, 0.5000)  8 Pm 3.25-3.34
Al (0.0000, 0.0000, 0.0000)  8 Pm 3.18-3.23
In (0.6667, 0.3333, 0.3317)  8 Pm 3.25-3.30
In (0.3333, 0.6667, 0.6683)  8 Pm 3.25-3.30

Values from the calculation:
The value obtained for the density of states at the Fermi level is 2.652 states/eV/f.u. The energy relative to the lowest polymorph listed for this composition comes out at 0.010 eV/atom.